[1]
SrLi3Ca3 (PBE, relaxed); calculated volume = 35.61 Å³ per atom; energy above the lowest structure with this stoichiometry = 0.00 eV/f.u.; energy of formation from the pure elements = 0.079 eV per atom; uncorrected energy = -1.839 eV/atom; crystal system = orthorhombic
1.0
7.953 -0.442 -0.001
-0.424 7.954 -0.001
0.001 0.001 7.905
Ca Li Sr
6 6 2
direct
0.277 0.277 0.500 Ca
0.789 0.211 0.000 Ca
0.240 0.760 0.500 Ca
0.723 0.723 0.500 Ca
0.760 0.240 0.500 Ca
0.211 0.789 0.000 Ca
0.500 0.000 0.744 Li
0.000 0.500 0.744 Li
0.000 0.000 0.723 Li
0.000 0.000 0.277 Li
0.500 0.000 0.256 Li
0.000 0.500 0.256 Li
0.297 0.297 0.000 Sr
0.703 0.703 0.000 Sr

=====

[2]
U2GeBi (PBE, relaxed); calculated volume = 24.26 Å³ per atom; energy of formation from the pure elements = -0.032 eV per atom; uncorrected energy = -7.801 eV/atom; crystal system = tetragonal
1.0
-2.112 0.674 -3.255
3.251 -0.386 -2.189
-1.103 -6.133 -0.555
Ge Bi U
1 1 2
direct
0.500 0.500 0.000 Ge
0.500 0.500 0.500 Bi
0.000 0.000 0.806 U
0.000 0.000 0.194 U

=====

Please write out number 2 again, unchanged.
U2GeBi (PBE, relaxed); calculated volume = 24.26 Å³ per atom; energy of formation from the pure elements = -0.032 eV per atom; uncorrected energy = -7.801 eV/atom; crystal system = tetragonal
1.0
-2.112 0.674 -3.255
3.251 -0.386 -2.189
-1.103 -6.133 -0.555
Ge Bi U
1 1 2
direct
0.500 0.500 0.000 Ge
0.500 0.500 0.500 Bi
0.000 0.000 0.806 U
0.000 0.000 0.194 U